Entry 1:
# HoMgCuAg

Crystalline HoMgCuAg at its relaxed geometry (PBE-GGA, Alexandria).

Unit cell a=6.825 b=6.825 c=6.825 alpha=90.00 beta=90.00 gamma=90.00
Element x y z (fractional)
Ho (0.000, 0.000, 0.000)
Ho (0.000, 0.500, 0.500)
Ho (0.500, 0.000, 0.500)
Ho (0.500, 0.500, 0.000)
Mg (0.000, 0.000, 0.500)
Mg (0.000, 0.500, 0.000)
Mg (0.500, 0.000, 0.000)
Mg (0.500, 0.500, 0.500)
Cu (0.250, 0.250, 0.250)
Cu (0.250, 0.750, 0.750)
Cu (0.750, 0.250, 0.750)
Cu (0.750, 0.750, 0.250)
Ag (0.250, 0.250, 0.750)
Ag (0.250, 0.750, 0.250)
Ag (0.750, 0.250, 0.250)
Ag (0.750, 0.750, 0.750)

Summary:
Calculated formation energy ... -0.91 eV/f.u.
D(E_F) ... 4.38 states/eV/f.u.

=====

Entry 2:
# Pm2Ho2Te2Se3

Crystalline Pm2Ho2Te2Se3 at its relaxed geometry (PBE-GGA, Alexandria).

Unit cell a=8.903 b=8.903 c=8.903 alpha=143.37 beta=143.37 gamma=52.78
Element x y z (fractional)
Pm (0.194, 0.194, 0.000)
Pm (0.806, 0.806, 0.000)
Ho (0.000, 0.500, 0.500)
Ho (0.500, 0.000, 0.500)
Te (0.395, 0.395, 0.000)
Te (0.605, 0.605, 0.000)
Se (0.000, 0.000, 0.000)
Se (0.250, 0.750, 0.500)
Se (0.750, 0.250, 0.500)

Summary:
Electronic total energy ... -5.3491 eV per atom
D(E_F) ... 4.48 states/eV/f.u.

=====

Entry 3:
# KSr2Ac

Crystalline KSr2Ac at its relaxed geometry (PBE-GGA, Alexandria).

Unit cell a=7.013 b=7.013 c=4.312 alpha=90.00 beta=90.00 gamma=90.00
Element x y z (fractional)
K (0.000, 0.000, 0.000)
Sr (0.000, 0.500, 0.500)
Sr (0.500, 0.000, 0.500)
Ac (0.500, 0.500, 0.000)

Summary:
Calculated formation energy ... 0.72 eV/f.u.
D(E_F) ... 4.54 states/eV/f.u.
Energy relative to the lowest polymorph listed for this composition ... 83.4 meV per atom

=====

Entry 4:
# Tl2TcSe

Crystalline Tl2TcSe at its relaxed geometry (PBE-GGA, Alexandria).

Unit cell a=4.610 b=4.610 c=8.795 alpha=90.00 beta=90.00 gamma=90.00
Element x y z (fractional)
Tl (0.000, 0.000, 0.000)
Tl (0.000, 0.500, 0.250)
Tl (0.500, 0.000, 0.750)
Tl (0.500, 0.500, 0.500)
Tc (0.000, 0.000, 0.500)
Tc (0.500, 0.500, 0.000)
Se (0.000, 0.500, 0.750)
Se (0.500, 0.000, 0.250)

Summary:
D(E_F) ... 2.28 states/eV/f.u.
Energy relative to the lowest polymorph listed for this composition ... 606.7 meV per atom